DFT (PBE-GGA) results for Zr2RuCl after structural relaxation.

Properties
ΔE to the lowest computed polymorph = 26.57 kcal/mol of atoms
E_form (uncorrected) = 1.822 eV per formula unit
Mass density = 7.0 g/cm³
Size of the total moment = 1.2 Bohr magnetons per cell

Cell lengths 4.7397, 4.7397, 4.7397 Å; angles 60.00, 60.00, 60.00 degrees
Element x y z (fractional)
Cl: 0.5000 0.5000 0.5000
Zr: 0.7500 0.7500 0.7500
Zr: 0.0000 0.0000 0.0000
Ru: 0.2500 0.2500 0.2500

***

DFT (PBE-GGA) results for Tl3Ni5Cl12 after structural relaxation.

Properties
E_form (uncorrected) = -12.022 eV per formula unit
Mass density = 4.5 g/cm³
Size of the total moment = 36.1 Bohr magnetons per cell

Cell lengths 13.6727, 13.6727, 13.6727 Å; angles 109.47, 109.47, 109.47 degrees
Element x y z (fractional)
Cl: 0.4932 0.8103 0.8950
Cl: 0.5847 0.6897 0.6829
Cl: 0.1050 0.4153 0.0982
Cl: 0.9153 0.8171 0.8103
Ni: 0.0000 0.0000 0.0000
Cl: 0.0847 0.1829 0.1897
Cl: 0.1829 0.0982 0.9932
Cl: 0.0982 0.1829 0.4932
Cl: 0.5982 0.9932 0.6829
Cl: 0.6897 0.5847 0.1829
Cl: 0.0068 0.6050 0.6897
Tl: 0.8750 0.7500 0.1250
Cl: 0.6897 0.1050 0.0068
Ni: 0.6250 0.7500 0.8750
Tl: 0.1250 0.2500 0.8750
Cl: 0.1897 0.5068 0.6050
Tl: 0.3750 0.7500 0.6250
Ni: 0.7500 0.1250 0.8750
Tl: 0.2500 0.6250 0.8750
Ni: 0.5000 0.5000 0.0000
Cl: 0.6050 0.0068 0.1897
Cl: 0.9018 0.0847 0.8950
Ni: 0.3750 0.2500 0.1250
Tl: 0.6250 0.3750 0.7500
Ni: 0.0000 0.5000 0.0000
Ni: 0.3750 0.1250 0.7500
Cl: 0.8171 0.9153 0.3103
Cl: 0.9932 0.3950 0.3103
Ni: 0.0000 0.5000 0.5000
Cl: 0.4018 0.0068 0.3171
Cl: 0.4153 0.1050 0.5982
Ni: 0.8750 0.2500 0.6250
Tl: 0.7500 0.3750 0.1250
Cl: 0.8950 0.5847 0.9018
Cl: 0.4018 0.3950 0.5847
Cl: 0.0982 0.9153 0.1050
Ni: 0.5000 0.0000 0.0000
Tl: 0.7500 0.8750 0.6250
Cl: 0.9932 0.5982 0.1829
Ni: 0.6250 0.8750 0.2500
Cl: 0.5982 0.6050 0.4153
Cl: 0.1829 0.0847 0.6897
Cl: 0.5068 0.3171 0.9018
Cl: 0.3950 0.4018 0.0847
Cl: 0.8103 0.3171 0.9153
Ni: 0.5000 0.0000 0.5000
Cl: 0.3103 0.4153 0.8171
Cl: 0.5847 0.8950 0.4018
Ni: 0.1250 0.7500 0.3750
Cl: 0.8950 0.3103 0.4932
Cl: 0.6050 0.5982 0.9153
Cl: 0.1897 0.6829 0.0847
Ni: 0.0000 0.0000 0.5000
Tl: 0.3750 0.6250 0.2500
Ni: 0.2500 0.3750 0.6250
Tl: 0.2500 0.1250 0.3750
Cl: 0.3171 0.5068 0.4018
Ni: 0.7500 0.6250 0.3750
Cl: 0.0068 0.4018 0.8171
Ni: 0.8750 0.6250 0.7500
Cl: 0.1050 0.6897 0.5068
Ni: 0.2500 0.8750 0.1250
Cl: 0.4932 0.6829 0.0982
Tl: 0.8750 0.1250 0.2500
Cl: 0.3171 0.8103 0.4153
Tl: 0.6250 0.2500 0.3750
Cl: 0.4153 0.3103 0.3171
Cl: 0.9018 0.8171 0.5068
Cl: 0.9153 0.0982 0.6050
Cl: 0.6829 0.1897 0.5847
Cl: 0.3103 0.8950 0.9932
Cl: 0.8103 0.4932 0.3950
Cl: 0.6829 0.4932 0.5982
Cl: 0.3950 0.9932 0.8103
Ni: 0.1250 0.3750 0.2500
Cl: 0.8171 0.9018 0.0068
Ni: 0.5000 0.5000 0.5000
Cl: 0.5068 0.1897 0.1050
Cl: 0.0847 0.9018 0.3950
Tl: 0.1250 0.8750 0.7500

***

DFT (PBE-GGA) results for NdNi2Ge after structural relaxation.

Properties
Formation energy = -0.3366 eV/atom
Mass density = 7.1 g/cm³
Size of the total moment = 0.0 Bohr magnetons per cell

Cell lengths 3.9084, 4.0210, 4.9718 Å; angles 90.01, 90.00, 90.00 degrees
Element x y z (fractional)
Ge: 0.5000 0.0000 0.5000
Ni: 0.0000 0.9997 0.7566
Ni: 0.0000 0.0003 0.2434
Nd: 0.5000 0.5000 0.0000

***

DFT (PBE-GGA) results for ErPuPaGa after structural relaxation.

Properties
Formation energy = 0.0536 eV/atom
Mass density = 12.6 g/cm³
Size of the total moment = 6.9 Bohr magnetons per cell

Cell lengths 5.0966, 5.0966, 5.0966 Å; angles 60.00, 60.00, 60.00 degrees
Element x y z (fractional)
Pa: 0.7500 0.7500 0.7500
Pu: 0.0000 0.0000 0.0000
Er: 0.5000 0.5000 0.5000
Ga: 0.2500 0.2500 0.2500

***

DFT (PBE-GGA) results for CsSrHf2P after structural relaxation.

Properties
Formation energy = 2.1254 eV/atom
Mass density = 6.0 g/cm³
Size of the total moment = 0.0 Bohr magnetons per cell

Cell lengths 5.2848, 5.9850, 5.2848 Å; angles 90.00, 90.00, 90.00 degrees
Element x y z (fractional)
Cs: 0.0000 0.0000 0.0000
P: 0.5000 0.5000 0.5000
Hf: 0.5000 0.0000 0.0000
Sr: 0.0000 0.5000 0.0000
Hf: 0.0000 0.0000 0.5000

***

DFT (PBE-GGA) results for CoOs2Cl after structural relaxation.

Properties
ΔE to the lowest computed polymorph = 0.00 kcal/mol of atoms
E_form (uncorrected) = 1.884 eV per formula unit
Mass density = 13.9 g/cm³
Size of the total moment = 1.6 Bohr magnetons per cell

Cell lengths 8.4919, 8.4919, 8.4919 Å; angles 19.01, 19.01, 19.01 degrees
Element x y z (fractional)
Cl: 0.4898 0.4898 0.4898
Os: 0.2539 0.2539 0.2539
Co: 0.7534 0.7534 0.7534
Os: 0.0028 0.0028 0.0028

***

DFT (PBE-GGA) results for SrLaPt2 after structural relaxation.

Properties
ΔE to the lowest computed polymorph = 1.34 kcal/mol of atoms
Formation energy = -0.9490 eV/atom
Mass density = 10.4 g/cm³
Size of the total moment = 0.0 Bohr magnetons per cell

Cell lengths 5.1790, 5.1790, 5.1790 Å; angles 60.00, 60.00, 60.00 degrees
Element x y z (fractional)
Pt: 0.7500 0.7500 0.7500
La: 0.5000 0.5000 0.5000
Sr: 0.0000 0.0000 0.0000
Pt: 0.2500 0.2500 0.2500

***

DFT (PBE-GGA) results for AcInPb2 after structural relaxation.

Properties
Formation energy = -0.4078 eV/atom
Mass density = 9.9 g/cm³
Size of the total moment = 0.0 Bohr magnetons per cell

Cell lengths 5.0801, 4.9847, 4.9847 Å; angles 90.00, 90.00, 90.00 degrees
Element x y z (fractional)
In: 0.5000 0.5000 0.5000
Pb: 0.0000 0.5000 0.0000
Ac: 0.5000 0.0000 0.0000
Pb: 0.0000 0.0000 0.5000